First-principles (GGA-PBE) data for a geometry-optimized LaRe4 structure, as listed in Alexandria via LeMat-Bulk.

Cell and atoms, written as POSCAR:
```
LaRe4
1.0
5.325 -1.420 0.000
5.325 1.420 0.000
-5.087 0.000 5.899
La Re
1 4
direct
0.000 0.000 0.000
0.146 0.146 0.795
0.363 0.363 0.503
0.637 0.637 0.497
0.854 0.854 0.205
```

Summary:
Energy relative to the elements in eV/atom: 0.3065
Excess energy over the best structure of this formula in the dataset in eV/atom: 0.2288
E in Ry per atom: -0.78184
Density in g/cm³: 16.5
Space group: No. 12